No. 1
This record from the Open Quantum Materials Database describes a relaxed structure of ThFe3. The functional is PBE.

## Properties
formation energy	0.43	eV/f.u.
electronic total energy	-7.98	eV per atom
magnetization	11.59	Bohr magnetons per cell
space-group type	P6_3/mmc (194)

Unit cell a=5.9438 b=5.9438 c=4.3051 alpha=90.00 beta=90.00 gamma=120.00
Closest atoms and distances in Å follow each position.
Positions (direct):
1 Fe 0.2659 0.1330 0.7500  6 Fe 2.37-2.55
2 Fe 0.1330 0.2659 0.2500  6 Fe 2.37-2.55
3 Fe 0.1330 0.8670 0.2500  6 Fe 2.37-2.55
4 Fe 0.8670 0.7341 0.7500  6 Fe 2.37-2.55
5 Fe 0.8670 0.1330 0.7500  6 Fe 2.37-2.55
6 Th 0.3333 0.6667 0.7500  12 Fe 2.98-2.99
7 Th 0.6667 0.3333 0.2500  12 Fe 2.98-2.99
8 Fe 0.7341 0.8670 0.2500  6 Fe 2.37-2.55

***

No. 2
This record from the Open Quantum Materials Database describes a relaxed structure of Th2Fe7. The functional is PBE.

## Properties
formation energy	-0.60	eV/f.u.
electronic total energy	-8.18	eV per atom
magnetization	27.82	Bohr magnetons per cell
space-group type	R-3m (166)

Unit cell a=12.6533 b=12.6533 c=12.6533 alpha=23.30 beta=23.30 gamma=23.30
Closest atoms and distances in Å follow each position.
Positions (direct):
1 Fe 0.3908 0.3908 0.8902  7 Fe 2.49-2.58
2 Fe 0.8902 0.3908 0.3908  7 Fe 2.49-2.58
3 Fe 0.7218 0.7218 0.7218  6 Fe 2.49-2.51
4 Fe 0.5000 0.5000 0.0000  8 Fe 2.50-2.56
5 Fe 0.0000 0.5000 0.5000  8 Fe 2.50-2.56
6 Fe 0.3908 0.8902 0.3908  7 Fe 2.49-2.58
7 Fe 0.5000 0.0000 0.5000  8 Fe 2.50-2.56
8 Fe 0.3879 0.3879 0.3879  6 Fe 2.50
9 Fe 0.1098 0.6092 0.6092  7 Fe 2.49-2.58
10 Fe 0.6092 0.1098 0.6092  7 Fe 2.49-2.58
11 Th 0.8516 0.8516 0.8516  12 Fe 2.93-3.16, 3 Th 3.25
12 Fe 0.6121 0.6121 0.6121  6 Fe 2.50
13 Th 0.9489 0.9489 0.9489  12 Fe 2.95-3.18
14 Th 0.1484 0.1484 0.1484  12 Fe 2.93-3.16, 3 Th 3.25
15 Fe 0.2782 0.2782 0.2782  6 Fe 2.49-2.51
16 Fe 0.5000 0.5000 0.5000  6 Fe 2.58
17 Fe 0.6092 0.6092 0.1098  7 Fe 2.49-2.58
18 Th 0.0511 0.0511 0.0511  12 Fe 2.95-3.18

***

No. 3
This record from the Open Quantum Materials Database describes a relaxed structure of TmThFe. The functional is PBE.

## Properties
formation energy	0.30	eV/f.u.
electronic total energy	-6.63	eV per atom
magnetization	0.03	Bohr magnetons per cell
energy above the most stable polymorph in this dataset	0.0	meV per atom
space-group type	F-43m (216)

Unit cell a=4.6989 b=4.6989 c=4.6989 alpha=60.00 beta=60.00 gamma=60.00
Closest atoms and distances in Å follow each position.
Positions (direct):
1 Fe 0.0000 0.0000 0.0000  4 Tm 2.88, 4 Th 2.88
2 Tm 0.7500 0.7500 0.7500  4 Fe 2.88
3 Th 0.2500 0.2500 0.2500  4 Fe 2.88

***

No. 4
This record from the Open Quantum Materials Database describes a relaxed structure of ThUFe. The functional is PBE.

## Properties
formation energy	1.36	eV/f.u.
electronic total energy	-8.55	eV per atom
magnetization	0.15	Bohr magnetons per cell
energy above the most stable polymorph in this dataset	0.0	meV per atom
space-group type	F-43m (216)

Unit cell a=4.5733 b=4.5733 c=4.5733 alpha=60.00 beta=60.00 gamma=60.00
Closest atoms and distances in Å follow each position.
Positions (direct):
1 Fe 0.0000 0.0000 0.0000  4 U 2.80, 4 Th 2.80
2 Th 0.7500 0.7500 0.7500  4 Fe 2.80
3 U 0.2500 0.2500 0.2500  4 Fe 2.80

***

No. 5
This record from the Open Quantum Materials Database describes a relaxed structure of YThFe. The functional is PBE.

## Properties
formation energy	0.44	eV/f.u.
electronic total energy	-7.25	eV per atom
magnetization	0.01	Bohr magnetons per cell
energy above the most stable polymorph in this dataset	0.0	meV per atom
space-group type	F-43m (216)

Unit cell a=4.7442 b=4.7442 c=4.7442 alpha=60.00 beta=60.00 gamma=60.00
Closest atoms and distances in Å follow each position.
Positions (direct):
1 Th 0.2500 0.2500 0.2500  4 Fe 2.91
2 Y 0.7500 0.7500 0.7500  4 Fe 2.91
3 Fe 0.0000 0.0000 0.0000  4 Th 2.91, 4 Y 2.91

***

No. 6
This record from the Open Quantum Materials Database describes a relaxed structure of ThZnFe. The functional is PBE.

## Properties
formation energy	0.29	eV/f.u.
electronic total energy	-5.57	eV per atom
magnetization	0.00	Bohr magnetons per cell
space-group type	F-43m (216)

Unit cell a=4.4371 b=4.4371 c=4.4371 alpha=60.00 beta=60.00 gamma=60.00
Closest atoms and distances in Å follow each position.
Positions (direct):
1 Zn 0.2500 0.2500 0.2500  4 Fe 2.72
2 Th 0.7500 0.7500 0.7500  4 Fe 2.72
3 Fe 0.0000 0.0000 0.0000  4 Zn 2.72, 4 Th 2.72

***

No. 7
This record from the Open Quantum Materials Database describes a relaxed structure of ThZrFe. The functional is PBE.

## Properties
formation energy	0.45	eV/f.u.
electronic total energy	-7.94	eV per atom
magnetization	0.30	Bohr magnetons per cell
energy above the most stable polymorph in this dataset	0.0	meV per atom
space-group type	F-43m (216)

Unit cell a=4.6022 b=4.6022 c=4.6022 alpha=60.00 beta=60.00 gamma=60.00
Closest atoms and distances in Å follow each position.
Positions (direct):
1 Th 0.2500 0.2500 0.2500  4 Fe 2.82
2 Zr 0.7500 0.7500 0.7500  4 Fe 2.82
3 Fe 0.0000 0.0000 0.0000  4 Zr 2.82, 4 Th 2.82

***

No. 8
This record from the Open Quantum Materials Database describes a relaxed structure of ThZrFe. The functional is PBE.

## Properties
formation energy	3.12	eV/f.u.
electronic total energy	-7.05	eV per atom
magnetization	0.23	Bohr magnetons per cell
energy above the most stable polymorph in this dataset	891.0	meV per atom
space-group type	F-43m (216)

Unit cell a=4.5741 b=4.5741 c=4.5741 alpha=60.00 beta=60.00 gamma=60.00
Closest atoms and distances in Å follow each position.
Positions (direct):
1 Zr 0.7500 0.7500 0.7500  4 Th 2.80
2 Th 0.0000 0.0000 0.0000  4 Fe 2.80, 4 Zr 2.80
3 Fe 0.2500 0.2500 0.2500  4 Th 2.80

***

No. 9
This record from the Open Quantum Materials Database describes a relaxed structure of Tl2Fe. The functional is PBE.

## Properties
electronic total energy	-3.26	eV per atom
magnetization	6.35	Bohr magnetons per cell
space-group type	Fd-3m (227)

Unit cell a=6.1169 b=6.1169 c=6.1169 alpha=60.00 beta=60.00 gamma=60.00
Closest atoms and distances in Å follow each position.
Positions (direct):
1 Tl 0.6250 0.6250 0.6250  6 Tl 3.06
2 Tl 0.6250 0.6250 0.1250  6 Tl 3.06
3 Fe 0.2500 0.2500 0.2500  12 Tl 3.59, 4 Fe 3.75
4 Fe 0.0000 0.0000 0.0000  12 Tl 3.59, 4 Fe 3.75
5 Tl 0.1250 0.6250 0.6250  6 Tl 3.06
6 Tl 0.6250 0.1250 0.6250  6 Tl 3.06

***

No. 10
This record from the Open Quantum Materials Database describes a relaxed structure of Tl2Fe. The functional is PBE.

## Properties
electronic total energy	-3.29	eV per atom
magnetization	3.13	Bohr magnetons per cell
space-group type	Fd-3m (227)

Unit cell a=8.2697 b=8.2697 c=8.2697 alpha=60.00 beta=60.00 gamma=60.00
Closest atoms and distances in Å follow each position.
Positions (direct):
1 Tl 0.3750 0.8750 0.3750  2 Fe 2.53
2 Tl 0.8750 0.3750 0.3750  2 Fe 2.53
3 Fe 0.2500 0.2500 0.2500  4 Tl 2.53
4 Fe 0.5000 0.5000 0.5000  4 Tl 2.53
5 Tl 0.3750 0.3750 0.3750  2 Fe 2.53
6 Tl 0.3750 0.3750 0.8750  2 Fe 2.53

***

No. 11
This record from the Open Quantum Materials Database describes a relaxed structure of Tl3Fe2. The functional is PBE.

## Properties
electronic total energy	-4.17	eV per atom
magnetization	9.83	Bohr magnetons per cell
space-group type	R-3c (167)

Unit cell a=6.5813 b=6.5813 c=7.1631 alpha=117.35 beta=62.65 gamma=120.00
Closest atoms and distances in Å follow each position.
Positions (direct):
1 Fe 0.6866 0.3134 0.9402  1 Fe 2.31
2 Tl 0.6394 0.7500 0.2500  4 Fe 2.77-2.81
3 Fe 0.8134 0.1866 0.5598  1 Fe 2.31
4 Tl 0.2500 0.1394 0.2500  4 Fe 2.77-2.81
5 Tl 0.8606 0.3606 0.2500  4 Fe 2.77-2.81
6 Fe 0.3134 0.6866 0.0598  1 Fe 2.31
7 Tl 0.3606 0.2500 0.7500  4 Fe 2.77-2.81
8 Tl 0.1394 0.6394 0.7500  4 Fe 2.77-2.81
9 Fe 0.1866 0.8134 0.4402  1 Fe 2.31
10 Tl 0.7500 0.8606 0.7500  4 Fe 2.77-2.81

***

No. 12
This record from the Open Quantum Materials Database describes a relaxed structure of TlFe2. The functional is PBE.

## Properties
electronic total energy	-3.78	eV per atom
magnetization	13.28	Bohr magnetons per cell
space-group type	Fd-3m (227)

Unit cell a=8.5267 b=8.5267 c=8.5267 alpha=60.00 beta=60.00 gamma=60.00
Closest atoms and distances in Å follow each position.
Positions (direct):
1 Fe 0.3750 0.8750 0.3750  2 Tl 2.61
2 Fe 0.3750 0.3750 0.8750  2 Tl 2.61
3 Tl 0.2500 0.2500 0.2500  4 Fe 2.61
4 Tl 0.5000 0.5000 0.5000  4 Fe 2.61
5 Fe 0.8750 0.3750 0.3750  2 Tl 2.61
6 Fe 0.3750 0.3750 0.3750  2 Tl 2.61

***

No. 13
This record from the Open Quantum Materials Database describes a relaxed structure of TlFe2. The functional is PBE.

## Properties
electronic total energy	-5.08	eV per atom
magnetization	11.53	Bohr magnetons per cell
space-group type	P4_2/mnm (136)

Unit cell a=5.1843 b=5.1843 c=4.8736 alpha=90.00 beta=90.00 gamma=90.00
Closest atoms and distances in Å follow each position.
Positions (direct):
1 Tl 0.5000 0.5000 0.5000  6 Fe 2.57-2.67
2 Fe 0.6488 0.6488 0.0000  1 Fe 2.18
3 Fe 0.8512 0.1488 0.5000  1 Fe 2.18
4 Tl 0.0000 0.0000 0.0000  6 Fe 2.57-2.67
5 Fe 0.1488 0.8512 0.5000  1 Fe 2.18
6 Fe 0.3512 0.3512 0.0000  1 Fe 2.18

***

No. 14
This record from the Open Quantum Materials Database describes a relaxed structure of TlFe. The functional is PBE.

## Properties
electronic total energy	-4.49	eV per atom
magnetization	2.83	Bohr magnetons per cell
space-group type	Fm-3m (225)

Unit cell a=3.8949 b=3.8949 c=3.8949 alpha=60.00 beta=60.00 gamma=60.00
Closest atoms and distances in Å follow each position.
Positions (direct):
1 Fe 0.0000 0.0000 0.0000  6 Tl 2.75
2 Tl 0.5000 0.5000 0.5000  6 Fe 2.75

***

No. 15
This record from the Open Quantum Materials Database describes a relaxed structure of TlFe. The functional is PBE.

## Properties
electronic total energy	-4.05	eV per atom
magnetization	2.69	Bohr magnetons per cell
space-group type	F-43m (216)

Unit cell a=4.3154 b=4.3154 c=4.3154 alpha=60.00 beta=60.00 gamma=60.00
Closest atoms and distances in Å follow each position.
Positions (direct):
1 Tl 0.2500 0.2500 0.2500  4 Fe 2.64
2 Fe 0.0000 0.0000 0.0000  4 Tl 2.64

***

No. 16
This record from the Open Quantum Materials Database describes a relaxed structure of TlFe. The functional is PBE.

## Properties
electronic total energy	-4.07	eV per atom
magnetization	5.66	Bohr magnetons per cell
space-group type	P6_3mc (186)

Unit cell a=4.3117 b=4.3117 c=7.0135 alpha=90.00 beta=90.00 gamma=120.00
Closest atoms and distances in Å follow each position.
Positions (direct):
1 Fe 0.3333 0.6667 0.4994  4 Tl 2.64
2 Tl 0.3333 0.6667 0.8756  4 Fe 2.64
3 Tl 0.0000 0.0000 0.3756  4 Fe 2.64
4 Fe 0.0000 0.0000 0.9995  4 Tl 2.64

***

No. 17
This record from the Open Quantum Materials Database describes a relaxed structure of TlFe2. The functional is PBE.

## Properties
electronic total energy	-5.90	eV per atom
magnetization	9.56	Bohr magnetons per cell
space-group type	Fd-3m (227)

Unit cell a=5.0902 b=5.0902 c=5.0902 alpha=60.00 beta=60.00 gamma=60.00
Closest atoms and distances in Å follow each position.
Positions (direct):
1 Tl 0.0000 0.0000 0.0000  12 Fe 2.98, 4 Tl 3.12
2 Fe 0.6250 0.1250 0.6250  6 Fe 2.55
3 Fe 0.1250 0.6250 0.6250  6 Fe 2.55
4 Fe 0.6250 0.6250 0.6250  6 Fe 2.55
5 Fe 0.6250 0.6250 0.1250  6 Fe 2.55
6 Tl 0.2500 0.2500 0.2500  12 Fe 2.98, 4 Tl 3.12

***

No. 18
This record from the Open Quantum Materials Database describes a relaxed structure of UTlFe. The functional is PBE.

## Properties
electronic total energy	-6.80	eV per atom
magnetization	1.67	Bohr magnetons per cell
space-group type	F-43m (216)

Unit cell a=4.4538 b=4.4538 c=4.4538 alpha=60.00 beta=60.00 gamma=60.00
Closest atoms and distances in Å follow each position.
Positions (direct):
1 U 0.7500 0.7500 0.7500  4 Fe 2.73
2 Fe 0.0000 0.0000 0.0000  4 U 2.73, 4 Tl 2.73
3 Tl 0.2500 0.2500 0.2500  4 Fe 2.73

***

No. 19
This record from the Open Quantum Materials Database describes a relaxed structure of UTlFe. The functional is PBE.

## Properties
electronic total energy	-6.07	eV per atom
magnetization	0.48	Bohr magnetons per cell
space-group type	F-43m (216)

Unit cell a=4.6907 b=4.6907 c=4.6907 alpha=60.00 beta=60.00 gamma=60.00
Closest atoms and distances in Å follow each position.
Positions (direct):
1 Tl 0.7500 0.7500 0.7500  4 U 2.87
2 U 0.0000 0.0000 0.0000  4 Fe 2.87, 4 Tl 2.87
3 Fe 0.2500 0.2500 0.2500  4 U 2.87

***

No. 20
This record from the Open Quantum Materials Database describes a relaxed structure of YTlFeW. The functional is PBE.

## Properties
electronic total energy	-6.74	eV per atom
magnetization	2.00	Bohr magnetons per cell
energy above the most stable polymorph in this dataset	0.0	meV per atom
space-group type	F-43m (216)

Unit cell a=4.7374 b=4.7374 c=4.7374 alpha=60.00 beta=60.00 gamma=60.00
Closest atoms and distances in Å follow each position.
Positions (direct):
1 Tl 0.0000 0.0000 0.0000  4 Fe 2.90, 4 Y 2.90
2 Y 0.2500 0.2500 0.2500  4 W 2.90, 4 Tl 2.90
3 W 0.5000 0.5000 0.5000  4 Fe 2.90, 4 Y 2.90
4 Fe 0.7500 0.7500 0.7500  4 W 2.90, 4 Tl 2.90